PBE B2TeO, relaxed; polymorph energy (0 for the lowest one) = 0.0 kJ/mol of atoms; energy relative to the elements, uncorrected = 721 meV/atom; space group = I-42d (122)
1.0
4.288 0.000 0.000
0.000 4.288 0.000
0.000 0.000 10.774
B Te O
8 4 4
Cartesian
0.577 1.072 1.347 B
1.072 2.721 4.040 B
1.072 3.712 9.427 B
1.568 1.072 6.734 B
2.721 3.216 6.734 B
3.216 0.577 9.427 B
3.216 1.568 4.040 B
3.712 3.216 1.347 B
0.000 0.000 5.387 Te
0.000 2.144 8.080 Te
2.144 0.000 2.693 Te
2.144 2.144 0.000 Te
0.000 0.000 0.000 O
0.000 2.144 2.693 O
2.144 0.000 8.080 O
2.144 2.144 5.387 O

=====

PBE Ti2ReGe, relaxed; space group = R-3m (166)
1.0
3.026 0.000 0.000
-1.513 2.620 0.000
0.000 0.000 24.686
Ti Re Ge
6 3 3
Cartesian
0.000 0.000 6.083 Ti
0.000 0.000 18.603 Ti
0.000 1.747 10.374 Ti
0.000 1.747 22.540 Ti
1.513 0.873 2.146 Ti
1.513 0.873 14.311 Ti
0.000 0.000 12.343 Re
0.000 1.747 4.114 Re
1.513 0.873 20.572 Re
0.000 0.000 0.000 Ge
0.000 1.747 16.457 Ge
1.513 0.873 8.229 Ge

=====

PBE Pm5Te2Pb2, relaxed; energy relative to the elements, uncorrected = -932 meV/atom; space group = Cmce (64)
1.0
7.940 -4.171 0.000
7.940 4.171 0.000
0.000 0.000 8.410
Pm Te Pb
10 4 4
Cartesian
0.000 0.000 0.000 Pm
5.760 2.784 5.574 Pm
5.760 1.387 1.368 Pm
10.120 2.784 5.574 Pm
10.120 1.387 1.368 Pm
7.940 0.000 4.205 Pm
5.760 -1.387 7.042 Pm
5.760 -2.784 2.837 Pm
10.120 -1.387 7.042 Pm
10.120 -2.784 2.837 Pm
3.179 0.000 0.000 Te
4.761 0.000 4.205 Te
11.119 0.000 4.205 Te
12.701 0.000 0.000 Te
7.940 3.024 3.056 Pb
7.940 1.147 7.261 Pb
7.940 -1.147 1.149 Pb
7.940 -3.024 5.354 Pb

=====

PBE Y12PuTh5, relaxed; space group = C2/m (12)
1.0
3.101 -5.368 0.000
3.101 5.368 0.000
-2.075 0.000 17.265
Y Pu Th
12 1 5
Cartesian
1.031 3.587 11.475 Y
-0.010 1.790 14.447 Y
1.036 0.000 2.814 Y
3.096 3.587 5.790 Y
1.017 0.000 11.475 Y
-0.010 -1.790 14.447 Y
4.136 1.790 2.818 Y
3.110 0.000 5.791 Y
1.031 -3.587 11.475 Y
3.090 0.000 14.451 Y
4.136 -1.790 2.818 Y
3.096 -3.587 5.790 Y
-1.038 0.000 8.633 Pu
3.101 3.577 0.000 Th
2.063 1.789 8.633 Th
3.101 0.000 0.000 Th
2.063 -1.789 8.633 Th
3.101 -3.577 0.000 Th

=====

PBE Cd6CuF12, relaxed; energy relative to the elements, uncorrected = -1970 meV/atom; space group = R-3 (148)
1.0
5.118 2.955 3.144
-5.118 2.955 3.144
0.000 -5.910 3.144
Cd Cu F
6 1 12
Cartesian
-3.527 -1.099 4.818 Cd
-0.811 -3.604 4.614 Cd
-2.715 2.504 4.614 Cd
2.715 -2.504 4.818 Cd
0.811 3.604 4.818 Cd
3.527 1.099 4.614 Cd
0.000 0.000 4.716 Cu
-4.380 1.021 4.118 F
-3.074 -3.283 5.314 F
-1.279 -1.535 3.714 F
1.306 -4.304 4.118 F
-0.690 1.875 3.714 F
-1.969 0.340 5.718 F
1.969 -0.340 3.714 F
0.690 -1.875 5.718 F
-1.306 4.304 5.314 F
1.279 1.535 5.718 F
3.074 3.283 4.118 F
4.380 -1.021 5.314 F

=====

PBE AlReOs, relaxed; space group = P3m1 (156)
1.0
2.789 0.000 0.000
-1.394 2.415 0.000
0.000 0.000 6.540
Al Re Os
1 1 1
Cartesian
0.000 0.000 0.000 Al
1.394 0.805 4.293 Re
0.000 1.610 2.193 Os

=====

PBE TaReCl2, relaxed; polymorph energy (0 for the lowest one) = 12.7 kJ/mol of atoms; energy relative to the elements, uncorrected = -369 meV/atom; space group = Cm (8)
1.0
5.124 0.000 0.000
0.000 3.591 0.000
-1.973 0.000 9.155
Ta Re Cl
2 2 4
Cartesian
0.000 0.000 0.000 Ta
2.562 1.795 0.000 Ta
0.384 1.795 1.780 Re
2.946 0.000 1.780 Re
-0.505 0.000 3.571 Cl
-1.105 1.795 7.320 Cl
2.057 1.795 3.571 Cl
1.457 0.000 7.320 Cl

=====

PBE Pm2ZrCd, relaxed; polymorph energy (0 for the lowest one) = 7.2 kJ/mol of atoms; space group = P4/mmm (123)
1.0
5.641 0.000 0.000
0.000 5.641 0.000
0.000 0.000 3.497
Pm Zr Cd
2 1 1
Cartesian
0.000 2.820 0.000 Pm
2.820 0.000 0.000 Pm
0.000 0.000 1.749 Zr
2.820 2.820 1.749 Cd

=====

PBE CaTi2F, relaxed; polymorph energy (0 for the lowest one) = 0.0 kJ/mol of atoms; energy relative to the elements, uncorrected = -455 meV/atom; space group = I-42d (122)
1.0
6.415 0.000 0.000
0.000 6.415 0.000
0.000 0.000 8.742
Ca Ti F
4 8 4
Cartesian
0.000 0.000 0.000 Ca
0.000 3.208 2.186 Ca
3.208 0.000 6.557 Ca
3.208 3.208 4.371 Ca
0.342 4.811 5.464 Ti
1.604 0.342 3.278 Ti
1.604 2.866 7.650 Ti
2.866 4.811 1.093 Ti
3.550 1.604 1.093 Ti
4.811 3.550 7.650 Ti
4.811 6.073 3.278 Ti
6.073 1.604 5.464 Ti
0.000 0.000 4.371 F
0.000 3.208 6.557 F
3.208 0.000 2.186 F
3.208 3.208 0.000 F

=====

PBE PmEr2P3, relaxed; space group = Immm (71)
1.0
4.026 0.000 0.000
0.000 5.696 0.000
0.000 0.000 12.064
Pm Er P
2 4 6
Cartesian
0.000 0.000 0.000 Pm
2.013 2.848 6.032 Pm
0.000 0.000 4.029 Er
0.000 0.000 8.035 Er
2.013 2.848 2.003 Er
2.013 2.848 10.061 Er
0.000 2.848 0.000 P
0.000 2.848 3.958 P
0.000 2.848 8.106 P
2.013 0.000 2.074 P
2.013 0.000 6.032 P
2.013 0.000 9.990 P

=====

PBE SrPm2P, relaxed; space group = R-3m (166)
1.0
4.050 0.000 0.000
-2.025 3.507 0.000
0.000 0.000 30.587
Sr Pm P
3 6 3
Cartesian
0.000 0.000 0.000 Sr
0.000 2.338 20.391 Sr
2.025 1.169 10.196 Sr
0.000 0.000 6.680 Pm
0.000 0.000 23.907 Pm
0.000 2.338 13.712 Pm
0.000 2.338 27.071 Pm
2.025 1.169 3.516 Pm
2.025 1.169 16.875 Pm
0.000 0.000 15.294 P
0.000 2.338 5.098 P
2.025 1.169 25.489 P

=====

PBE CaAgCl, relaxed; polymorph energy (0 for the lowest one) = 39.4 kJ/mol of atoms; energy relative to the elements, uncorrected = -610 meV/atom; space group = F-43m (216)
1.0
6.977 0.000 0.000
0.000 6.977 0.000
0.000 0.000 6.977
Ca Ag Cl
4 4 4
Cartesian
0.000 0.000 0.000 Ca
0.000 3.488 3.488 Ca
3.488 0.000 3.488 Ca
3.488 3.488 0.000 Ca
0.000 0.000 3.488 Ag
0.000 3.488 0.000 Ag
3.488 0.000 0.000 Ag
3.488 3.488 3.488 Ag
1.744 1.744 5.232 Cl
1.744 5.232 1.744 Cl
5.232 1.744 1.744 Cl
5.232 5.232 5.232 Cl

=====

PBE LaIn2AuC, relaxed; space group = P4/mmm (123)
1.0
5.857 0.000 0.000
0.000 5.857 0.000
0.000 0.000 3.878
La In Au C
1 2 1 1
Cartesian
0.000 0.000 0.000 La
0.000 2.929 1.939 In
2.929 0.000 1.939 In
2.929 2.929 1.939 Au
2.929 2.929 0.000 C

=====

PBE LiCu2Cl, relaxed; polymorph energy (0 for the lowest one) = 8.2 kJ/mol of atoms; energy relative to the elements, uncorrected = -363 meV/atom; space group = Immm (71)
1.0
3.196 0.000 0.000
0.000 3.417 0.000
0.000 0.000 12.861
Li Cu Cl
2 4 2
Cartesian
0.000 0.000 0.000 Li
1.598 1.708 6.430 Li
0.000 1.708 2.895 Cu
0.000 1.708 9.965 Cu
1.598 0.000 3.535 Cu
1.598 0.000 9.326 Cu
0.000 0.000 6.430 Cl
1.598 1.708 0.000 Cl

=====

PBE La5Mg4, relaxed; polymorph energy (0 for the lowest one) = 1.1 kJ/mol of atoms; space group = P6_3/mcm (193)
1.0
9.804 0.000 0.000
-4.902 8.491 0.000
0.000 0.000 6.996
La Mg
10 8
Cartesian
-1.577 2.731 1.749 La
-3.325 5.760 5.247 La
3.153 0.000 1.749 La
1.577 2.731 5.247 La
0.000 5.661 0.000 La
0.000 5.661 3.498 La
4.902 2.830 0.000 La
4.902 2.830 3.498 La
6.651 0.000 5.247 La
3.325 5.760 1.749 La
0.000 0.000 0.000 Mg
0.000 0.000 3.498 Mg
-1.650 2.858 5.247 Mg
-3.252 5.633 1.749 Mg
3.300 0.000 5.247 Mg
1.650 2.858 1.749 Mg
6.504 0.000 1.749 Mg
3.252 5.633 5.247 Mg

=====

PBE Rb2SnH, relaxed; polymorph energy (0 for the lowest one) = 0.0 kJ/mol of atoms; space group = R-3m (166)
1.0
3.852 0.000 0.000
-1.926 3.336 0.000
0.000 0.000 32.163
Rb Sn H
6 3 3
Cartesian
0.000 0.000 3.562 Rb
0.000 0.000 28.600 Rb
0.000 2.224 17.879 Rb
0.000 2.224 25.004 Rb
1.926 1.112 7.159 Rb
1.926 1.112 14.283 Rb
0.000 0.000 0.000 Sn
0.000 2.224 21.442 Sn
1.926 1.112 10.721 Sn
0.000 0.000 16.081 H
0.000 2.224 5.360 H
1.926 1.112 26.802 H

=====

PBE MgIrRu2, relaxed; space group = Cmm2 (35)
1.0
2.850 0.000 0.000
0.000 4.666 0.000
0.000 0.000 9.031
Mg Ir Ru
2 2 4
Cartesian
0.000 0.000 0.000 Mg
1.425 2.333 0.000 Mg
0.000 2.333 2.250 Ir
1.425 0.000 2.250 Ir
0.000 0.000 4.543 Ru
0.000 2.333 6.731 Ru
1.425 0.000 6.731 Ru
1.425 2.333 4.543 Ru

=====

PBE Pm6Sm2Tm5, relaxed; space group = Pbam (55)
1.0
11.738 0.000 0.000
0.000 20.345 0.000
0.000 0.000 3.618
Pm Sm Tm
12 4 10
Cartesian
0.679 1.592 0.000 Pm
0.948 7.433 0.000 Pm
2.064 12.781 1.809 Pm
3.805 2.608 1.809 Pm
4.921 17.606 0.000 Pm
5.189 11.765 0.000 Pm
6.548 8.580 0.000 Pm
6.816 2.739 0.000 Pm
7.933 17.737 1.809 Pm
9.674 7.564 1.809 Pm
10.790 12.912 0.000 Pm
11.058 18.753 0.000 Pm
1.941 15.990 0.000 Sm
3.927 5.817 0.000 Sm
7.810 14.528 0.000 Sm
9.796 4.356 0.000 Sm
0.000 10.173 1.809 Tm
1.112 4.545 1.809 Tm
2.346 19.227 1.809 Tm
3.523 9.055 1.809 Tm
4.757 14.717 1.809 Tm
5.869 0.000 1.809 Tm
6.981 5.628 1.809 Tm
8.215 11.291 1.809 Tm
9.392 1.118 1.809 Tm
10.625 15.801 1.809 Tm

=====

PBE Fe2TcRu, relaxed; polymorph energy (0 for the lowest one) = 5.1 kJ/mol of atoms; space group = Cmmm (65)
1.0
5.219 0.000 0.000
0.000 7.358 0.000
0.000 0.000 2.602
Fe Tc Ru
4 2 2
Cartesian
1.305 1.839 0.000 Fe
1.305 5.518 0.000 Fe
3.914 1.839 0.000 Fe
3.914 5.518 0.000 Fe
0.000 0.000 1.301 Tc
2.610 3.679 1.301 Tc
0.000 3.679 1.301 Ru
2.610 0.000 1.301 Ru

=====

PBE Ac2MgTe, relaxed; polymorph energy (0 for the lowest one) = 36.2 kJ/mol of atoms; energy relative to the elements, uncorrected = -274 meV/atom; space group = R-3m (166)
1.0
4.252 0.000 0.000
-2.126 3.682 0.000
0.000 0.000 34.603
Ac Mg Te
6 3 3
Cartesian
0.000 0.000 3.592 Ac
0.000 0.000 31.011 Ac
0.000 2.455 19.476 Ac
0.000 2.455 26.661 Ac
2.126 1.227 7.942 Ac
2.126 1.227 15.127 Ac
0.000 0.000 0.000 Mg
0.000 2.455 23.069 Mg
2.126 1.227 11.534 Mg
0.000 0.000 17.302 Te
0.000 2.455 5.767 Te
2.126 1.227 28.836 Te

=====

PBE Ba3SiH, relaxed; polymorph energy (0 for the lowest one) = 0.0 kJ/mol of atoms; space group = P-1 (2)
1.0
4.567 0.000 0.000
-2.278 7.347 0.000
-0.007 -2.466 10.641
Ba Si H
6 2 2
Cartesian
-0.004 0.917 2.319 Ba
-0.003 0.771 6.264 Ba
0.002 4.973 1.093 Ba
2.280 -0.092 9.548 Ba
2.285 4.111 4.377 Ba
2.286 3.965 8.322 Ba
0.002 5.624 6.415 Si
2.279 -0.742 4.226 Si
-0.007 1.727 8.969 H
2.288 3.155 1.672 H

=====

PBE TaCI, relaxed; energy relative to the elements, uncorrected = 280 meV/atom; space group = P4/mmm (123)
1.0
3.131 0.000 0.000
0.000 3.131 0.000
0.000 0.000 5.813
Ta C I
1 1 1
Cartesian
0.000 0.000 0.000 Ta
1.565 1.565 0.000 C
0.000 0.000 2.907 I

=====

PBE Ce5Ga2Co2, relaxed; polymorph energy (0 for the lowest one) = 6.2 kJ/mol of atoms; space group = Cmce (64)
1.0
6.932 -4.018 0.000
6.932 4.018 0.000
0.000 0.000 7.212
Ce Ga Co
10 4 4
Cartesian
0.000 0.000 0.000 Ce
5.046 2.020 5.396 Ce
5.046 1.997 1.790 Ce
8.818 2.020 5.396 Ce
8.818 1.997 1.790 Ce
6.932 0.000 3.606 Ce
5.046 -1.997 5.422 Ce
5.046 -2.020 1.816 Ce
8.818 -1.997 5.422 Ce
8.818 -2.020 1.816 Ce
3.380 0.000 0.000 Ga
3.552 0.000 3.606 Ga
10.312 0.000 3.606 Ga
10.484 0.000 0.000 Ga
6.932 2.808 3.547 Co
6.932 1.209 7.153 Co
6.932 -1.209 0.059 Co
6.932 -2.808 3.665 Co

=====

PBE HgW5, relaxed; polymorph energy (0 for the lowest one) = 1.3 kJ/mol of atoms; space group = Amm2 (38)
1.0
4.771 0.000 0.000
0.000 2.690 0.000
0.000 0.000 15.822
Hg W
2 10
Cartesian
0.000 0.000 0.000 Hg
0.000 1.345 7.911 Hg
0.000 0.000 5.234 W
0.000 0.000 10.531 W
0.000 1.345 2.620 W
0.000 1.345 13.145 W
2.385 0.000 3.699 W
2.385 0.000 9.018 W
2.385 0.000 14.190 W
2.385 1.345 1.107 W
2.385 1.345 6.279 W
2.385 1.345 11.610 W

=====

| no. | calculated total energy (eV/atom) |
| --- | --- |
| 1 | -4.642 |
| 2 | -8.447 |
| 3 | -5.093 |
| 4 | -7.151 |
| 5 | -3.656 |
| 6 | -9.238 |
| 7 | -7.367 |
| 8 | -4.744 |
| 9 | -5.371 |
| 10 | -6.602 |
| 11 | -4.842 |
| 12 | -2.843 |
| 13 | -3.968 |
| 14 | -3.351 |
| 15 | -3.439 |
| 16 | -2.170 |
| 17 | -6.988 |
| 18 | -4.536 |
| 19 | -8.993 |
| 20 | -3.512 |
| 21 | -3.156 |
| 22 | -7.262 |
| 23 | -5.754 |
| 24 | -10.243 |